1.
First-principles (PBE) data for SrAc3Tc after structural relaxation, as listed in the Alexandria database.

```
SrAc3Tc
1.0
5.883 0.000 0.000
0.000 5.883 0.000
0.000 0.000 5.883
Sr Ac Tc
1 3 1
direct
0.000 0.000 0.000 Sr
0.000 0.500 0.500 Ac
0.500 0.000 0.500 Ac
0.500 0.500 0.000 Ac
0.500 0.500 0.500 Tc
```

Calculated formation energy: 0.061 eV per atom
Energy: -4.81 eV per atom
SG: Pm-3m, No. 221
Offset from the most stable computed form: 0 meV per atom

2.
First-principles (PBE) data for AgPb2F6 after structural relaxation, as listed in the Alexandria database.

```
AgPb2F6
1.0
5.466 0.000 0.000
0.000 5.466 0.000
0.000 0.000 11.498
Ag Pb F
2 4 12
direct
0.000 0.000 0.000 Ag
0.500 0.500 0.500 Ag
0.000 0.000 0.334 Pb
0.000 0.000 0.666 Pb
0.500 0.500 0.166 Pb
0.500 0.500 0.834 Pb
0.187 0.187 0.172 F
0.187 0.187 0.828 F
0.222 0.222 0.500 F
0.278 0.722 0.000 F
0.313 0.687 0.328 F
0.313 0.687 0.672 F
0.687 0.313 0.328 F
0.687 0.313 0.672 F
0.722 0.278 0.000 F
0.778 0.778 0.500 F
0.813 0.813 0.172 F
0.813 0.813 0.828 F
```

Energy: -4.33 eV per atom
SG: P4_2/mnm, No. 136
ΔE_f (raw): -1944 meV per atom

3.
First-principles (PBE) data for KNaInHg2 after structural relaxation, as listed in the Alexandria database.

```
KNaInHg2
1.0
-2.430 2.430 6.706
2.430 -2.430 6.706
2.430 2.430 -6.706
K Na In Hg
1 1 1 2
direct
0.000 0.000 0.000 K
0.750 0.250 0.500 Na
0.250 0.750 0.500 In
0.390 0.390 0.000 Hg
0.610 0.610 0.000 Hg
```

Calculated formation energy: -0.191 eV per atom
Energy: -1.34 eV per atom
SG: I-4m2, No. 119
Offset from the most stable computed form: 0 meV per atom

4.
First-principles (PBE) data for Li3Ca4Mg after structural relaxation, as listed in the Alexandria database.

```
Li3Ca4Mg
1.0
3.923 0.000 0.000
0.000 5.202 0.000
0.000 0.000 12.562
Li Ca Mg
3 4 1
direct
0.000 0.000 0.000 Li
0.000 0.500 0.136 Li
0.500 0.000 0.500 Li
0.000 0.000 0.725 Ca
0.000 0.500 0.409 Ca
0.500 0.000 0.220 Ca
0.500 0.500 0.914 Ca
0.500 0.500 0.636 Mg
```

Calculated formation energy: 0.010 eV per atom
Energy: -1.91 eV per atom
SG: Pmm2, No. 25
Offset from the most stable computed form: 19 meV per atom

The highest energy belongs to which entry? KNaInHg2

Repeat the first record exactly.
First-principles (PBE) data for SrAc3Tc after structural relaxation, as listed in the Alexandria database.

```
SrAc3Tc
1.0
5.883 0.000 0.000
0.000 5.883 0.000
0.000 0.000 5.883
Sr Ac Tc
1 3 1
direct
0.000 0.000 0.000 Sr
0.000 0.500 0.500 Ac
0.500 0.000 0.500 Ac
0.500 0.500 0.000 Ac
0.500 0.500 0.500 Tc
```

Calculated formation energy: 0.061 eV per atom
Energy: -4.81 eV per atom
SG: Pm-3m, No. 221
Offset from the most stable computed form: 0 meV per atom

What did the second record say?
First-principles (PBE) data for AgPb2F6 after structural relaxation, as listed in the Alexandria database.

```
AgPb2F6
1.0
5.466 0.000 0.000
0.000 5.466 0.000
0.000 0.000 11.498
Ag Pb F
2 4 12
direct
0.000 0.000 0.000 Ag
0.500 0.500 0.500 Ag
0.000 0.000 0.334 Pb
0.000 0.000 0.666 Pb
0.500 0.500 0.166 Pb
0.500 0.500 0.834 Pb
0.187 0.187 0.172 F
0.187 0.187 0.828 F
0.222 0.222 0.500 F
0.278 0.722 0.000 F
0.313 0.687 0.328 F
0.313 0.687 0.672 F
0.687 0.313 0.328 F
0.687 0.313 0.672 F
0.722 0.278 0.000 F
0.778 0.778 0.500 F
0.813 0.813 0.172 F
0.813 0.813 0.828 F
```

Energy: -4.33 eV per atom
SG: P4_2/mnm, No. 136
ΔE_f (raw): -1944 meV per atom

What is the energy in the third record? -1.34 eV per atom